## P
PBE-GGA InCuPt, relaxed; DOS at the Fermi energy = 0.439 states/eV per atom
1.0
-3.764 -0.942 0.428
1.000 -3.725 0.601
0.465 1.200 6.692
In Cu Pt
2 2 2
Direct
0.250 0.750 0.333 In
0.750 0.250 0.667 In
0.750 0.750 0.000 Cu
0.250 0.250 0.000 Cu
0.750 0.250 0.259 Pt
0.250 0.750 0.741 Pt

## Q
PBE-GGA InCuPt, relaxed; DOS at the Fermi energy = 0.410 states/eV per atom
1.0
-2.602 -3.228 -1.505
1.578 -0.177 4.115
-2.352 1.447 0.964
Cu In Pt
1 1 1
Direct
0.000 0.000 0.950 Cu
0.667 0.333 0.307 In
0.333 0.667 0.743 Pt

Which is most stable, and by how much? P, by 84 meV/atom.